[1]
YGa4Cu2Ir | PBE | optimized geometry

```
data_YGa4Cu2Ir
_cell_length_a 4.1781
_cell_length_b 4.1781
_cell_length_c 26.6626
_cell_angle_alpha 90.00
_cell_angle_beta 90.00
_cell_angle_gamma 120.00
_space_group_name_H-M_alt 'R -3 m'
_space_group_IT_number 166
_space_group_name_Hall '-R 3 2"'
loop_
_atom_site_label
_atom_site_fract_x
_atom_site_fract_y
_atom_site_fract_z
_atom_site_occupancy
Y1 0.0000 0.0000 0.0000 1
Ga1 0.0000 0.0000 0.1287 1
Ga2 0.0000 0.0000 0.4005 1
Cu1 0.0000 0.0000 0.2409 1
Ir1 0.0000 0.0000 0.5000 1
```

Fermi-level density of states (states/eV per atom): 0.515
VASP energy (eV/atom): -4.79



[2]
YGa3CuIr | PBE | optimized geometry

```
data_YGa3CuIr
_cell_length_a 6.0458
_cell_length_b 11.7388
_cell_length_c 6.2229
_cell_angle_alpha 90.00
_cell_angle_beta 90.00
_cell_angle_gamma 90.00
_space_group_name_H-M_alt 'C m c m'
_space_group_IT_number 63
_space_group_name_Hall '-C 2c 2'
loop_
_atom_site_label
_atom_site_fract_x
_atom_site_fract_y
_atom_site_fract_z
_atom_site_occupancy
Y1 0.0000 0.2143 0.2500 1
Ga1 0.0000 0.3391 0.7500 1
Ga2 0.2144 0.0000 0.0000 1
Cu1 0.0000 0.4491 0.2500 1
Ir1 0.0000 0.1315 0.7500 1
```

Fermi-level density of states (states/eV per atom): 0.402
VASP energy (eV/atom): -5.06



[3]
ZnGaCu2Ir | PBE | optimized geometry

```
data_ZnGaCu2Ir
_cell_length_a 4.5907
_cell_length_b 13.7286
_cell_length_c 4.5894
_cell_angle_alpha 90.00
_cell_angle_beta 90.00
_cell_angle_gamma 90.00
_space_group_name_H-M_alt 'C m c m'
_space_group_IT_number 63
_space_group_name_Hall '-C 2c 2'
loop_
_atom_site_label
_atom_site_fract_x
_atom_site_fract_y
_atom_site_fract_z
_atom_site_occupancy
Zn1 0.0000 0.1456 0.2500 1
Ga1 0.0000 0.3483 0.2500 1
Cu1 0.2490 0.5000 0.0000 1
Ir1 0.0000 0.2525 0.7500 1
```

Fermi-level density of states (states/eV per atom): 0.215
VASP energy (eV/atom): -4.22



[4]
KGa3Cu2 | PBE | optimized geometry

```
data_KGa3Cu2
_cell_length_a 10.8660
_cell_length_b 8.2015
_cell_length_c 5.1246
_cell_angle_alpha 90.00
_cell_angle_beta 90.00
_cell_angle_gamma 90.00
_space_group_name_H-M_alt 'C m c m'
_space_group_IT_number 63
_space_group_name_Hall '-C 2c 2'
loop_
_atom_site_label
_atom_site_fract_x
_atom_site_fract_y
_atom_site_fract_z
_atom_site_occupancy
K1 0.0000 0.1450 0.2500 1
Ga1 0.0000 0.4220 0.7500 1
Ga2 0.1972 0.2269 0.7500 1
Cu1 0.2014 0.5000 0.0000 1
```

Fermi-level density of states (states/eV per atom): 0.431
VASP energy (eV/atom): -3.18



[5]
KGa2Cu | PBE | optimized geometry

```
data_KGa2Cu
_cell_length_a 4.3130
_cell_length_b 4.3130
_cell_length_c 18.6279
_cell_angle_alpha 90.00
_cell_angle_beta 90.00
_cell_angle_gamma 120.00
_space_group_name_H-M_alt 'R -3 m'
_space_group_IT_number 166
_space_group_name_Hall '-R 3 2"'
loop_
_atom_site_label
_atom_site_fract_x
_atom_site_fract_y
_atom_site_fract_z
_atom_site_occupancy
K1 0.0000 0.0000 0.0000 1
Ga1 0.0000 0.0000 0.1923 1
Cu1 0.0000 0.0000 0.5000 1
```

Fermi-level density of states (states/eV per atom): 0.391
VASP energy (eV/atom): -2.90



[6]
KGaCu2 | PBE | optimized geometry

```
data_KGaCu2
_cell_length_a 4.9957
_cell_length_b 4.9957
_cell_length_c 16.5256
_cell_angle_alpha 90.00
_cell_angle_beta 90.00
_cell_angle_gamma 90.00
_space_group_name_H-M_alt 'I 41/a m d'
_space_group_IT_number 141
loop_
_space_group_symop_operation_xyz
'x,y,z'
'-x,-y,-z'
'-y+1/4,x+3/4,z+1/4'
'y+1/4,-x+3/4,-z+1/4'
'-x+1/2,-y,z+1/2'
'x+1/2,y,-z+1/2'
'y+1/4,-x+1/4,z+3/4'
'-y+1/4,x+1/4,-z+3/4'
'x,-y,-z'
'-x,y,z'
'-y+1/4,-x+1/4,-z+3/4'
'y+1/4,x+1/4,z+3/4'
'-x+1/2,y,-z+1/2'
'x+1/2,-y,z+1/2'
'y+1/4,x+3/4,-z+1/4'
'-y+1/4,-x+3/4,z+1/4'
'x+1/2,y+1/2,z+1/2'
'-x+1/2,-y+1/2,-z+1/2'
'-y+3/4,x+1/4,z+3/4'
'y+3/4,-x+1/4,-z+3/4'
'-x,-y+1/2,z'
'x,y+1/2,-z'
'y+3/4,-x+3/4,z+1/4'
'-y+3/4,x+3/4,-z+1/4'
'x+1/2,-y+1/2,-z+1/2'
'-x+1/2,y+1/2,z+1/2'
'-y+3/4,-x+3/4,-z+1/4'
'y+3/4,x+3/4,z+1/4'
'-x,y+1/2,-z'
'x,-y+1/2,z'
'y+3/4,x+1/4,-z+3/4'
'-y+3/4,-x+1/4,z+3/4'
loop_
_atom_site_label
_atom_site_fract_x
_atom_site_fract_y
_atom_site_fract_z
_atom_site_occupancy
K1 0.0000 0.2500 0.3750 1
Ga1 0.0000 0.2500 0.8750 1
Cu1 0.0000 0.0000 0.0000 1
```

Fermi-level density of states (states/eV per atom): 0.596
VASP energy (eV/atom): -2.88



[7]
KGa7Cu12 | PBE | optimized geometry

```
data_KGa7Cu12
_cell_length_a 12.6128
_cell_length_b 12.6128
_cell_length_c 6.5578
_cell_angle_alpha 90.00
_cell_angle_beta 90.00
_cell_angle_gamma 120.00
_space_group_name_H-M_alt 'R -3 m'
_space_group_IT_number 166
_space_group_name_Hall '-R 3 2"'
loop_
_atom_site_label
_atom_site_fract_x
_atom_site_fract_y
_atom_site_fract_z
_atom_site_occupancy
K1 0.0000 0.0000 0.0000 1
Ga1 0.0000 0.0000 0.5000 1
Ga2 0.1012 0.5506 0.3576 1
Cu1 0.0000 0.2735 0.0000 1
Cu2 0.1056 0.5528 0.9487 1
```

Fermi-level density of states (states/eV per atom): 0.381
VASP energy (eV/atom): -3.51



[8]
KGa5Cu2 | PBE | optimized geometry

```
data_KGa5Cu2
_cell_length_a 4.0963
_cell_length_b 7.3019
_cell_length_c 10.2133
_cell_angle_alpha 90.00
_cell_angle_beta 90.00
_cell_angle_gamma 90.00
_space_group_name_H-M_alt 'I m m m'
_space_group_IT_number 71
_space_group_name_Hall '-I 2 2'
loop_
_atom_site_label
_atom_site_fract_x
_atom_site_fract_y
_atom_site_fract_z
_atom_site_occupancy
K1 0.0000 0.0000 0.0000 1
Ga1 0.0000 0.1908 0.3455 1
Ga2 0.0000 0.5000 0.0000 1
Cu1 0.0000 0.5000 0.2364 1
```

Fermi-level density of states (states/eV per atom): 0.337
VASP energy (eV/atom): -3.15



[9]
KGa12Cu4 | PBE | optimized geometry

```
data_KGa12Cu4
_cell_length_a 8.7606
_cell_length_b 8.7606
_cell_length_c 8.7606
_cell_angle_alpha 90.00
_cell_angle_beta 90.00
_cell_angle_gamma 90.00
_space_group_name_H-M_alt 'I m -3'
_space_group_IT_number 204
_space_group_name_Hall '-I 2 2 3'
loop_
_atom_site_label
_atom_site_fract_x
_atom_site_fract_y
_atom_site_fract_z
_atom_site_occupancy
K1 0.0000 0.0000 0.0000 1
Ga1 0.0000 0.3490 0.1600 1
Cu1 0.2500 0.2500 0.2500 1
```

Fermi-level density of states (states/eV per atom): 0.627
VASP energy (eV/atom): -3.10



[10]
KGa6Cu3 | PBE | optimized geometry

```
data_KGa6Cu3
_cell_length_a 7.4090
_cell_length_b 6.4942
_cell_length_c 8.4389
_cell_angle_alpha 90.00
_cell_angle_beta 118.07
_cell_angle_gamma 90.00
_space_group_name_H-M_alt 'P 1 21/c 1'
_space_group_IT_number 14
_space_group_name_Hall '-P 2ybc'
loop_
_atom_site_label
_atom_site_fract_x
_atom_site_fract_y
_atom_site_fract_z
_atom_site_occupancy
K1 0.0000 0.0000 0.0000 1
Ga1 0.1350 0.0304 0.6785 1
Ga2 0.2943 0.6807 0.8789 1
Ga3 0.4578 0.1787 0.2662 1
Cu1 0.2542 0.1756 0.4413 1
Cu2 0.5000 0.0000 0.0000 1
```

Fermi-level density of states (states/eV per atom): 0.221
VASP energy (eV/atom): -3.16



[11]
KGa2Cu | PBE | optimized geometry

```
data_KGa2Cu
_cell_length_a 5.3911
_cell_length_b 5.3911
_cell_length_c 15.8934
_cell_angle_alpha 90.00
_cell_angle_beta 90.00
_cell_angle_gamma 90.00
_space_group_name_H-M_alt 'I -4 2 d'
_space_group_IT_number 122
_space_group_name_Hall 'I -4 2bw'
loop_
_atom_site_label
_atom_site_fract_x
_atom_site_fract_y
_atom_site_fract_z
_atom_site_occupancy
K1 0.0000 0.0000 0.0000 1
Ga1 0.0012 0.7500 0.6250 1
Cu1 0.0000 0.0000 0.5000 1
```

Fermi-level density of states (states/eV per atom): 0.410
VASP energy (eV/atom): -2.71



[12]
K2GaCu2 | PBE | optimized geometry

```
data_K2GaCu2
_cell_length_a 6.7052
_cell_length_b 6.7052
_cell_length_c 5.5409
_cell_angle_alpha 90.00
_cell_angle_beta 90.00
_cell_angle_gamma 90.00
_space_group_name_H-M_alt 'P 4/m b m'
_space_group_IT_number 127
_space_group_name_Hall '-P 4 2ab'
loop_
_atom_site_label
_atom_site_fract_x
_atom_site_fract_y
_atom_site_fract_z
_atom_site_occupancy
K1 0.1806 0.3194 0.0000 1
Ga1 0.0000 0.0000 0.5000 1
Cu1 0.1333 0.6333 0.5000 1
```

Fermi-level density of states (states/eV per atom): 0.436
VASP energy (eV/atom): -2.42



[13]
KGa2Cu | PBE | optimized geometry

```
data_KGa2Cu
_cell_length_a 6.9518
_cell_length_b 6.9518
_cell_length_c 6.9518
_cell_angle_alpha 90.00
_cell_angle_beta 90.00
_cell_angle_gamma 90.00
_space_group_name_H-M_alt 'F m -3 m'
_space_group_IT_number 225
_space_group_name_Hall '-F 4 2 3'
loop_
_atom_site_label
_atom_site_fract_x
_atom_site_fract_y
_atom_site_fract_z
_atom_site_occupancy
K1 0.0000 0.0000 0.0000 1
Ga1 0.2500 0.2500 0.2500 1
Cu1 0.0000 0.0000 0.5000 1
```

Fermi-level density of states (states/eV per atom): 0.414
VASP energy (eV/atom): -2.47



[14]
KLi2GaCu | PBE | optimized geometry

```
data_KLi2GaCu
_cell_length_a 5.1124
_cell_length_b 5.1124
_cell_length_c 4.6365
_cell_angle_alpha 90.00
_cell_angle_beta 90.00
_cell_angle_gamma 90.00
_space_group_name_H-M_alt 'P 4/m m m'
_space_group_IT_number 123
_space_group_name_Hall '-P 4 2'
loop_
_atom_site_label
_atom_site_fract_x
_atom_site_fract_y
_atom_site_fract_z
_atom_site_occupancy
K1 0.0000 0.0000 0.0000 1
Li1 0.0000 0.5000 0.5000 1
Ga1 0.5000 0.5000 0.0000 1
Cu1 0.5000 0.5000 0.5000 1
```

Fermi-level density of states (states/eV per atom): 0.596
VASP energy (eV/atom): -2.38



[15]
KMgGaCu | PBE | optimized geometry

```
data_KMgGaCu
_cell_length_a 4.5944
_cell_length_b 4.5944
_cell_length_c 6.3197
_cell_angle_alpha 90.00
_cell_angle_beta 90.00
_cell_angle_gamma 120.00
_space_group_name_H-M_alt 'P -6 m 2'
_space_group_IT_number 187
_space_group_name_Hall 'P -6 2'
loop_
_atom_site_label
_atom_site_fract_x
_atom_site_fract_y
_atom_site_fract_z
_atom_site_occupancy
K1 0.0000 0.0000 0.0000 1
Mg1 0.3333 0.6667 0.5000 1
Ga1 0.6667 0.3333 0.5000 1
Cu1 0.0000 0.0000 0.5000 1
```

Fermi-level density of states (states/eV per atom): 0.467
VASP energy (eV/atom): -2.46



[16]
KMgGaCu | PBE | optimized geometry

```
data_KMgGaCu
_cell_length_a 4.4216
_cell_length_b 4.4307
_cell_length_c 6.9000
_cell_angle_alpha 71.45
_cell_angle_beta 71.40
_cell_angle_gamma 60.15
_space_group_name_H-M_alt 'P 1'
_space_group_IT_number 1
_space_group_name_Hall 'P 1'
loop_
_atom_site_label
_atom_site_fract_x
_atom_site_fract_y
_atom_site_fract_z
_atom_site_occupancy
K1 0.0000 0.0000 0.0000 1
Mg1 0.1808 0.1860 0.4483 1
Ga1 0.7975 0.8012 0.5997 1
Cu1 0.4732 0.4823 0.5674 1
```

Fermi-level density of states (states/eV per atom): 0.460
VASP energy (eV/atom): -2.47



[17]
KMgGaCu | PBE | optimized geometry

```
data_KMgGaCu
_cell_length_a 4.4501
_cell_length_b 4.4501
_cell_length_c 19.0717
_cell_angle_alpha 90.00
_cell_angle_beta 90.00
_cell_angle_gamma 120.00
_space_group_name_H-M_alt 'R 3 m'
_space_group_IT_number 160
_space_group_name_Hall 'R 3 -2"'
loop_
_atom_site_label
_atom_site_fract_x
_atom_site_fract_y
_atom_site_fract_z
_atom_site_occupancy
K1 0.0000 0.0000 0.0000 1
Mg1 0.0000 0.0000 0.8161 1
Ga1 0.0000 0.0000 0.5305 1
Cu1 0.0000 0.0000 0.1896 1
```

Fermi-level density of states (states/eV per atom): 0.592
VASP energy (eV/atom): -2.47



[18]
KMgGaCu | PBE | optimized geometry

```
data_KMgGaCu
_cell_length_a 3.2630
_cell_length_b 3.2630
_cell_length_c 8.6635
_cell_angle_alpha 90.00
_cell_angle_beta 90.00
_cell_angle_gamma 90.00
_space_group_name_H-M_alt 'P 4 m m'
_space_group_IT_number 99
_space_group_name_Hall 'P 4 -2'
loop_
_atom_site_label
_atom_site_fract_x
_atom_site_fract_y
_atom_site_fract_z
_atom_site_occupancy
K1 0.0000 0.0000 0.0000 1
Mg1 0.5000 0.5000 0.6287 1
Ga1 0.5000 0.5000 0.2943 1
Cu1 0.0000 0.0000 0.4456 1
```

Fermi-level density of states (states/eV per atom): 0.480
VASP energy (eV/atom): -2.39



[19]
KMg2GaCu | PBE | optimized geometry

```
data_KMg2GaCu
_cell_length_a 5.1130
_cell_length_b 5.1130
_cell_length_c 4.7783
_cell_angle_alpha 90.00
_cell_angle_beta 90.00
_cell_angle_gamma 90.00
_space_group_name_H-M_alt 'P 4/m m m'
_space_group_IT_number 123
_space_group_name_Hall '-P 4 2'
loop_
_atom_site_label
_atom_site_fract_x
_atom_site_fract_y
_atom_site_fract_z
_atom_site_occupancy
K1 0.0000 0.0000 0.0000 1
Mg1 0.0000 0.5000 0.5000 1
Ga1 0.5000 0.5000 0.0000 1
Cu1 0.5000 0.5000 0.5000 1
```

Fermi-level density of states (states/eV per atom): 0.491
VASP energy (eV/atom): -2.21



[20]
KMgGaCu | PBE | optimized geometry

```
data_KMgGaCu
_cell_length_a 7.8425
_cell_length_b 4.5619
_cell_length_c 6.7849
_cell_angle_alpha 90.00
_cell_angle_beta 112.26
_cell_angle_gamma 90.00
_space_group_name_H-M_alt 'C 1 m 1'
_space_group_IT_number 8
_space_group_name_Hall 'C -2y'
loop_
_atom_site_label
_atom_site_fract_x
_atom_site_fract_y
_atom_site_fract_z
_atom_site_occupancy
K1 0.0000 0.0000 0.0000 1
Mg1 0.4913 0.0000 0.4684 1
Ga1 0.1862 0.0000 0.5548 1
Cu1 0.3323 0.5000 0.4908 1
```

Fermi-level density of states (states/eV per atom): 0.410
VASP energy (eV/atom): -2.47



[21]
KMgGaCu | PBE | optimized geometry

```
data_KMgGaCu
_cell_length_a 3.1588
_cell_length_b 4.0356
_cell_length_c 7.6651
_cell_angle_alpha 90.00
_cell_angle_beta 90.00
_cell_angle_gamma 90.00
_space_group_name_H-M_alt 'P m m 2'
_space_group_IT_number 25
_space_group_name_Hall 'P 2 -2'
loop_
_atom_site_label
_atom_site_fract_x
_atom_site_fract_y
_atom_site_fract_z
_atom_site_occupancy
K1 0.0000 0.0000 0.0000 1
Mg1 0.0000 0.0000 0.5265 1
Ga1 0.5000 0.5000 0.3277 1
Cu1 0.5000 0.5000 0.6529 1
```

Fermi-level density of states (states/eV per atom): 0.429
VASP energy (eV/atom): -2.37



[22]
KNa2GaCu | PBE | optimized geometry

```
data_KNa2GaCu
_cell_length_a 5.7874
_cell_length_b 5.7874
_cell_length_c 4.7132
_cell_angle_alpha 90.00
_cell_angle_beta 90.00
_cell_angle_gamma 90.00
_space_group_name_H-M_alt 'P 4/m m m'
_space_group_IT_number 123
_space_group_name_Hall '-P 4 2'
loop_
_atom_site_label
_atom_site_fract_x
_atom_site_fract_y
_atom_site_fract_z
_atom_site_occupancy
K1 0.0000 0.0000 0.0000 1
Na1 0.0000 0.5000 0.5000 1
Ga1 0.5000 0.5000 0.5000 1
Cu1 0.5000 0.5000 0.0000 1
```

Fermi-level density of states (states/eV per atom): 0.211
VASP energy (eV/atom): -2.05



[23]
KNa2GaCu | PBE | optimized geometry

```
data_KNa2GaCu
_cell_length_a 5.6843
_cell_length_b 5.6843
_cell_length_c 4.6847
_cell_angle_alpha 90.00
_cell_angle_beta 90.00
_cell_angle_gamma 90.00
_space_group_name_H-M_alt 'P 4/m m m'
_space_group_IT_number 123
_space_group_name_Hall '-P 4 2'
loop_
_atom_site_label
_atom_site_fract_x
_atom_site_fract_y
_atom_site_fract_z
_atom_site_occupancy
K1 0.0000 0.0000 0.0000 1
Na1 0.0000 0.5000 0.5000 1
Ga1 0.5000 0.5000 0.0000 1
Cu1 0.5000 0.5000 0.5000 1
```

Fermi-level density of states (states/eV per atom): 0.273
VASP energy (eV/atom): -2.10



[24]
KGaCuO3 | PBE | optimized geometry

```
data_KGaCuO3
_cell_length_a 6.4023
_cell_length_b 2.9429
_cell_length_c 9.7055
_cell_angle_alpha 90.00
_cell_angle_beta 109.20
_cell_angle_gamma 90.00
_space_group_name_H-M_alt 'P 1 21/m 1'
_space_group_IT_number 11
_space_group_name_Hall '-P 2yb'
loop_
_atom_site_label
_atom_site_fract_x
_atom_site_fract_y
_atom_site_fract_z
_atom_site_occupancy
K1 0.2294 0.2500 0.2116 1
Ga1 0.1649 0.7500 0.6089 1
Cu1 0.3249 0.2500 0.8882 1
O1 0.0626 0.7500 0.3986 1
O2 0.2440 0.7500 0.9761 1
O3 0.3705 0.2500 0.6942 1
```

Fermi-level density of states (states/eV per atom): 0.543
VASP energy (eV/atom): -5.09
Formation energy (no corrections) (eV/atom): -1.2391